A plane-wave DFT calculation with SCAN was carried out for Ti4Pb2O9F2 at its PBEsol-relaxed geometry.

Lattice parameters (Å, degrees): 7.6140 7.6140 10.2532 131.44 131.44 28.96
Closest atoms and distances in Å follow each position.
Fractional positions:
1 Ti 0.1212 0.1212 0.0463  6 O 1.91-2.00
2 Ti 0.1604 0.1604 0.7252  4 O 1.77-1.96
3 Ti 0.8396 0.8396 0.2748  4 O 1.77-1.96
4 Ti 0.8788 0.8788 0.9537  6 O 1.91-2.00
5 Pb 0.4174 0.4174 0.6607  3 F 2.43-2.56, 2 O 2.49
6 Pb 0.5826 0.5826 0.3393  3 F 2.43-2.56, 2 O 2.49
7 O 0.0000 0.0000 0.5000  2 Ti 1.86
8 O 0.0619 0.0619 0.1640  2 Ti 1.91-2.00
9 O 0.1194 0.1194 0.8521  2 Ti 1.77-1.97
10 O 0.3026 0.3026 0.2590  3 Ti 1.96-1.98
11 O 0.3519 0.3519 0.9300  3 Ti 1.93-2.07
12 O 0.6481 0.6481 0.0700  3 Ti 1.93-2.07
13 O 0.6974 0.6974 0.7410  3 Ti 1.96-1.98
14 O 0.8806 0.8806 0.1479  2 Ti 1.77-1.97
15 O 0.9381 0.9381 0.8360  2 Ti 1.91-2.00
16 F 0.2139 0.2139 0.5631  1 Ti 2.27, 1 Pb 2.43
17 F 0.7861 0.7861 0.4369  1 Ti 2.27, 1 Pb 2.43

Summary:
The formation energy without anion corrections comes out at -2937 meV per atom. The calculation puts the spin magnetization at 0.00 μB per formula unit. As for the space group: C2/m, No. 12.

A plane-wave DFT calculation with SCAN was carried out for Na2YTcPb at its PBEsol-relaxed geometry.

Lattice parameters (Å, degrees): 5.1956 5.1956 5.2291 90.00 90.00 90.00
Closest atoms and distances in Å follow each position.
Fractional positions:
1 Na 0.0000 0.5000 0.0000  2 Pb 2.60
2 Na 0.5000 0.0000 0.0000  2 Pb 2.60
3 Y 0.0000 0.0000 0.5000  4 Tc 3.67, 8 Na 3.69
4 Tc 0.5000 0.5000 0.5000  2 Pb 2.61
5 Pb 0.5000 0.5000 0.0000  4 Na 2.60, 2 Tc 2.61

Summary:
The value obtained for the formation enthalpy at 0 K is 806 meV/atom. The calculation puts the spin magnetization at 0.75 μB per formula unit. As for the space group: P4/mmm, No. 123.

A plane-wave DFT calculation with SCAN was carried out for Sr3Au at its PBEsol-relaxed geometry.

Lattice parameters (Å, degrees): 4.2158 4.2158 10.9250 90.00 90.00 120.00
Closest atoms and distances in Å follow each position.
Fractional positions:
1 Sr 0.0000 0.0000 0.0000  12 Sr 4.22-4.27
2 Sr 0.3333 0.6667 0.3215  3 Au 3.12
3 Sr 0.3333 0.6667 0.6785  3 Au 3.12
4 Au 0.0000 0.0000 0.5000  6 Sr 3.12

Summary:
The value obtained for the formation enthalpy at 0 K is -429 meV/atom. The calculation puts the spin magnetization at 0.02 μB per formula unit. As for the space group: P-6m2, No. 187.

A plane-wave DFT calculation with SCAN was carried out for CrRu2W at its PBEsol-relaxed geometry.

Lattice parameters (Å, degrees): 4.2888 4.2888 4.2888 60.00 60.00 60.00
Closest atoms and distances in Å follow each position.
Fractional positions:
1 Cr 0.0000 0.0000 0.0000  8 Ru 2.63
2 Ru 0.2500 0.2500 0.2500  4 Cr 2.63, 4 W 2.63
3 Ru 0.7500 0.7500 0.7500  4 Cr 2.63, 4 W 2.63
4 W 0.5000 0.5000 0.5000  8 Ru 2.63

Summary:
The calculation puts the offset from the most stable computed form at 0 meV per atom. The value obtained for the formation enthalpy at 0 K is 28 meV/atom. The calculation puts the spin magnetization at 3.78 μB per formula unit. As for the space group: Fm-3m, No. 225.

A plane-wave DFT calculation with SCAN was carried out for Si2RuPt at its PBEsol-relaxed geometry.

Lattice parameters (Å, degrees): 7.8661 7.8661 7.8661 21.21 21.21 21.21
Closest atoms and distances in Å follow each position.
Fractional positions:
1 Si 0.0000 0.0000 0.0000  3 Pt 2.43, 3 Si 2.57
2 Si 0.2489 0.2489 0.2489  3 Ru 2.37, 3 Si 2.57
3 Ru 0.5095 0.5095 0.5095  3 Si 2.37
4 Pt 0.7429 0.7429 0.7429  3 Si 2.43

Summary:
The formation energy without anion corrections comes out at -187 meV per atom. The calculation puts the spin magnetization at 0.00 μB per formula unit. As for the space group: R3m, No. 160.

A plane-wave DFT calculation with SCAN was carried out for Ni2AgRh at its PBEsol-relaxed geometry.

Lattice parameters (Å, degrees): 4.1699 4.1699 4.1699 60.00 60.00 60.00
Closest atoms and distances in Å follow each position.
Fractional positions:
1 Ni 0.2500 0.2500 0.2500  4 Rh 2.55, 4 Ag 2.55
2 Ni 0.7500 0.7500 0.7500  4 Ag 2.55, 4 Rh 2.55
3 Ag 0.0000 0.0000 0.0000  8 Ni 2.55
4 Rh 0.5000 0.5000 0.5000  8 Ni 2.55

Summary:
The value obtained for the formation enthalpy at 0 K is 296 meV/atom. The calculation puts the spin magnetization at 2.47 μB per formula unit. As for the space group: Fm-3m, No. 225.

A plane-wave DFT calculation with SCAN was carried out for ZnIrCl2 at its PBEsol-relaxed geometry.

Lattice parameters (Å, degrees): 5.8765 5.8765 5.8765 145.22 145.22 50.00
Closest atoms and distances in Å follow each position.
Fractional positions:
1 Zn 0.0000 0.0000 0.0000  4 Cl 2.48
2 Ir 0.2500 0.7500 0.5000  4 Cl 2.48
3 Cl 0.5000 0.5000 0.0000  4 Zn 2.48
4 Cl 0.7500 0.2500 0.5000  4 Ir 2.48

Summary:
The calculation puts the offset from the most stable computed form at 714 meV per atom. The formation energy without anion corrections comes out at 565 meV per atom. The calculation puts the spin magnetization at 0.00 μB per formula unit. As for the space group: I-4m2, No. 119.

A plane-wave DFT calculation with SCAN was carried out for SiSb2TePt at its PBEsol-relaxed geometry.

Lattice parameters (Å, degrees): 5.1009 5.1009 5.4006 90.00 90.00 90.00
Closest atoms and distances in Å follow each position.
Fractional positions:
1 Si 0.0000 0.0000 0.0000  4 Te 3.61, 8 Sb 3.71
2 Sb 0.0000 0.5000 0.5000  2 Pt 2.55
3 Sb 0.5000 0.0000 0.5000  2 Pt 2.55
4 Te 0.5000 0.5000 0.0000  2 Pt 2.70
5 Pt 0.5000 0.5000 0.5000  4 Sb 2.55, 2 Te 2.70

Summary:
The formation energy without anion corrections comes out at 714 meV per atom. The calculation puts the spin magnetization at 0.00 μB per formula unit. As for the space group: P4/mmm, No. 123.

A plane-wave DFT calculation with SCAN was carried out for Sr20Ta8O39 at its PBEsol-relaxed geometry.

Lattice parameters (Å, degrees): 5.8602 5.8982 33.1593 93.35 90.06 119.66
Closest atoms and distances in Å follow each position.
Fractional positions:
1 Sr 0.0000 0.0000 0.0000  5 O 2.37-2.57
2 Sr 0.0053 0.0305 0.1104  8 O 2.62-2.92
3 Sr 0.0325 0.1037 0.3123  7 O 2.48-2.67
4 Sr 0.1379 0.3036 0.5272  7 O 2.52-2.76
5 Sr 0.1436 0.2730 0.4221  6 O 2.38-2.59
6 Sr 0.2203 0.4671 0.7671  7 O 2.52-2.77
7 Sr 0.2578 0.4983 0.8721  6 O 2.38-2.59
8 Sr 0.3131 0.6630 0.9815  6 O 2.47-2.62
9 Sr 0.3494 0.7267 0.1854  9 O 2.67-2.96
10 Sr 0.3854 0.7670 0.2950  6 O 2.37-2.63
11 Sr 0.4552 0.9382 0.4046  7 O 2.48-2.72
12 Sr 0.4794 0.9754 0.6012  7 O 2.47-2.71
13 Sr 0.5680 0.1559 0.8151  7 O 2.51-2.75
14 Sr 0.5736 0.1284 0.7100  6 O 2.38-2.61
15 Sr 0.6546 0.3444 0.0509  7 O 2.48-2.77
16 Sr 0.6946 0.4193 0.2434  7 O 2.49-2.72
17 Sr 0.7968 0.6158 0.4793  7 O 2.51-2.75
18 Sr 0.8306 0.6425 0.5844  6 O 2.39-2.61
19 Sr 0.8899 0.7951 0.6931  7 O 2.47-2.71
20 Sr 0.9036 0.8332 0.8899  7 O 2.49-2.72
21 Ta 0.0236 0.0704 0.2146  6 O 1.98-2.06
22 Ta 0.2636 0.3856 0.6472  5 O 1.88-1.98
23 Ta 0.3301 0.6887 0.0798  6 O 1.97-2.07
24 Ta 0.4714 0.9606 0.5031  6 O 1.98-2.02
25 Ta 0.6792 0.3767 0.1472  6 O 2.04-2.06
26 Ta 0.6881 0.2482 0.9351  5 O 1.88-1.98
27 Ta 0.8246 0.5234 0.3593  5 O 1.88-1.98
28 Ta 0.8974 0.8106 0.7913  6 O 1.98-2.03
29 O 0.0103 0.5750 0.1152  2 Ta 2.04-2.05
30 O 0.0235 0.2502 0.9346  1 Ta 1.96
31 O 0.0478 0.9016 0.3750  1 Ta 1.98
32 O 0.0633 0.3107 0.6940  1 Ta 1.88
33 O 0.0997 0.3763 0.0428  1 Ta 2.00
34 O 0.1107 0.0073 0.6317  1 Ta 1.98
35 O 0.1322 0.1282 0.8262  1 Ta 1.98
36 O 0.1339 0.8743 0.2493  1 Ta 1.99
37 O 0.1388 0.4610 0.6003  1 Ta 1.88
38 O 0.1573 0.5200 0.3594  1 Ta 1.96
39 O 0.1619 0.7514 0.5356  1 Ta 1.98
40 O 0.1963 0.8811 0.7541  1 Ta 2.03
41 O 0.2141 0.8959 0.0503  1 Ta 1.97
42 O 0.2395 0.0247 0.4670  1 Ta 2.00
43 O 0.2432 0.3935 0.2496  1 Ta 1.99
44 O 0.3486 0.1791 0.1799  2 Ta 2.05-2.06
45 O 0.3875 0.6420 0.4683  1 Ta 1.98
46 O 0.4613 0.4860 0.1127  2 Ta 2.06-2.07
47 O 0.4788 0.1640 0.9813  1 Ta 1.89
48 O 0.4888 0.7636 0.6627  1 Ta 1.98
49 O 0.5322 0.8696 0.9194  1 Ta 1.98
50 O 0.5496 0.2787 0.5388  1 Ta 2.00
51 O 0.5550 0.0279 0.1146  2 Ta 2.05
52 O 0.5789 0.3349 0.8879  1 Ta 1.88
53 O 0.5997 0.3851 0.6472  1 Ta 1.97
54 O 0.6018 0.7469 0.8273  1 Ta 2.00
55 O 0.6263 0.7688 0.0428  1 Ta 2.00
56 O 0.6284 0.4390 0.4065  1 Ta 1.88
57 O 0.6574 0.4933 0.7555  1 Ta 2.01
58 O 0.6650 0.1477 0.3414  1 Ta 1.98
59 O 0.7005 0.8902 0.5402  1 Ta 2.02
60 O 0.7035 0.6090 0.3128  1 Ta 1.89
61 O 0.7188 0.9960 0.2484  1 Ta 1.98
62 O 0.7814 0.1715 0.4690  1 Ta 2.02
63 O 0.7975 0.0212 0.7589  1 Ta 1.98
64 O 0.8053 0.7249 0.1805  2 Ta 2.05
65 O 0.8995 0.2701 0.1804  2 Ta 2.04-2.05
66 O 0.9028 0.6229 0.9535  1 Ta 1.98
67 O 0.9961 0.5983 0.8253  1 Ta 2.01

Summary:
The formation energy without anion corrections comes out at -3189 meV per atom. The calculation puts the spin magnetization at 0.00 μB per formula unit. As for the space group: P1, No. 1.

A plane-wave DFT calculation with SCAN was carried out for Mn3NbIn at its PBEsol-relaxed geometry.

Lattice parameters (Å, degrees): 4.5852 4.5852 4.5852 90.00 90.00 90.00
Closest atoms and distances in Å follow each position.
Fractional positions:
1 Mn 0.0000 0.0000 0.5000  2 Nb 2.29
2 Mn 0.0000 0.5000 0.0000  2 Nb 2.29
3 Mn 0.5000 0.0000 0.0000  2 Nb 2.29
4 Nb 0.0000 0.0000 0.0000  6 Mn 2.29
5 In 0.5000 0.5000 0.5000  12 Mn 3.24

Summary:
The value obtained for the formation enthalpy at 0 K is 1011 meV/atom. The calculation puts the spin magnetization at 8.68 μB per formula unit. As for the space group: Pm-3m, No. 221.

A plane-wave DFT calculation with SCAN was carried out for KSrI2O at its PBEsol-relaxed geometry.

Lattice parameters (Å, degrees): 6.1094 6.1094 4.6065 90.00 90.00 90.00
Closest atoms and distances in Å follow each position.
Fractional positions:
1 K 0.0000 0.0000 0.0000  2 O 2.30
2 Sr 0.5000 0.5000 0.5000  8 I 3.83
3 I 0.0000 0.5000 0.0000  2 K 3.05
4 I 0.5000 0.0000 0.0000  2 K 3.05
5 O 0.0000 0.0000 0.5000  2 K 2.30

Summary:
The formation energy without anion corrections comes out at -982 meV per atom. The calculation puts the spin magnetization at 1.00 μB per formula unit. As for the space group: P4/mmm, No. 123.

A plane-wave DFT calculation with SCAN was carried out for Tl2OsWAu at its PBEsol-relaxed geometry.

Lattice parameters (Å, degrees): 5.2546 5.2546 4.8771 90.00 90.00 90.00
Closest atoms and distances in Å follow each position.
Fractional positions:
1 Tl 0.0000 0.5000 0.0000  2 W 2.63
2 Tl 0.5000 0.0000 0.0000  2 W 2.63
3 Os 0.0000 0.0000 0.5000  8 Tl 3.58, 4 Au 3.72
4 W 0.5000 0.5000 0.0000  2 Au 2.44, 4 Tl 2.63
5 Au 0.5000 0.5000 0.5000  2 W 2.44

Summary:
The value obtained for the formation enthalpy at 0 K is 2120 meV/atom. The calculation puts the spin magnetization at 4.37 μB per formula unit. As for the space group: P4/mmm, No. 123.